(w)
Rb2ZrV: relaxed, PBE.

The calculated density is 2.33 g cm⁻³. As for the symmetry: I-42d (122).

abc: 13.7075 13.7075 9.9790
angles: 46.62 46.62 90.00
With the nearest neighbours (Å) after each atom.
Fractional positions:
V1 0.5000 0.5000 0.0000  2 Zr 2.37
V2 0.2500 0.7500 0.5000  2 Zr 2.37
Rb1 0.4631 0.1250 0.2500  2 V 3.68, 2 Zr 4.05
Rb2 0.3750 0.5369 0.7500  2 V 3.68, 2 Zr 4.05
Rb3 0.8750 0.7131 0.7500  2 V 3.68, 2 Zr 4.05
Rb4 0.2869 0.6250 0.2500  2 V 3.68, 2 Zr 4.05
Zr1 0.0000 0.0000 0.0000  2 V 2.37
Zr2 0.7500 0.2500 0.5000  2 V 2.37

(x)
Rb2ZrV: relaxed, PBE.

The calculated density is 3.12 g cm⁻³. As for the symmetry: Fm-3m (225).

abc: 6.1753 6.1753 6.1753
angles: 60.00 60.00 60.00
With the nearest neighbours (Å) after each atom.
Fractional positions:
V1 0.0000 0.0000 0.0000  8 Rb 3.78
Rb1 0.7500 0.7500 0.7500  4 Zr 3.78, 4 V 3.78
Rb2 0.2500 0.2500 0.2500  4 Zr 3.78, 4 V 3.78
Zr1 0.5000 0.5000 0.5000  8 Rb 3.78

Pick (w): it beats the second-best structure by 462 meV per atom.

(w)
RbZr2V: relaxed, PBE.

The calculated density is 5.39 g cm⁻³. As for the symmetry: Fm-3m (225).

abc: 5.1781 5.1781 5.1781
angles: 60.00 60.00 60.00
With the nearest neighbours (Å) after each atom.
Fractional positions:
Rb1 0.5000 0.5000 0.5000  8 Zr 3.17
Zr1 0.2500 0.2500 0.2500  4 Rb 3.17, 4 V 3.17
Zr2 0.7500 0.7500 0.7500  4 Rb 3.17, 4 V 3.17
V1 0.0000 0.0000 0.0000  8 Zr 3.17

(x)
RbZr2V: relaxed, PBE.

The calculated density is 3.31 g cm⁻³. As for the symmetry: I4_1/amd (141).

abc: 7.6678 7.6678 7.6832
angles: 60.07 60.07 90.00
With the nearest neighbours (Å) after each atom.
Fractional positions:
Zr1 0.3754 0.6250 0.2500  2 V 2.35
Zr2 0.8750 0.6246 0.7500  2 V 2.35
Zr3 0.3746 0.1250 0.2500  2 V 2.35
Zr4 0.3750 0.6254 0.7500  2 V 2.35
V1 0.2500 0.7500 0.5000  4 Zr 2.35
V2 0.5000 0.5000 0.0000  4 Zr 2.35
Rb1 0.0000 0.0000 0.0000  12 Zr 4.49-4.51, 4 Rb 4.70, 4 V 4.70
Rb2 0.7500 0.2500 0.5000  12 Zr 4.49-4.51, 4 Rb 4.70, 4 V 4.70

Pick (w): it beats the second-best structure by 75 meV per atom.

(w)
RbZr3V: relaxed, PBE.

The calculated density is 4.94 g cm⁻³. As for the symmetry: Pm-3m (221).

abc: 5.1658 5.1658 5.1658
angles: 90.00 90.00 90.00
With the nearest neighbours (Å) after each atom.
Fractional positions:
V1 0.0000 0.0000 0.0000  6 Zr 2.58
Zr1 0.0000 0.5000 0.0000  2 V 2.58
Zr2 0.5000 0.0000 0.0000  2 V 2.58
Zr3 0.0000 0.0000 0.5000  2 V 2.58
Rb1 0.5000 0.5000 0.5000  12 Zr 3.65

(x)
RbZr3V: relaxed, PBE.

The calculated density is 5.38 g cm⁻³. As for the symmetry: Pm-3m (221).

abc: 5.0205 5.0205 5.0205
angles: 90.00 90.00 90.00
With the nearest neighbours (Å) after each atom.
Fractional positions:
Zr1 0.0000 0.5000 0.0000  2 Rb 2.51
Zr2 0.0000 0.0000 0.5000  2 Rb 2.51
Zr3 0.5000 0.0000 0.0000  2 Rb 2.51
V1 0.5000 0.5000 0.5000  12 Zr 3.55
Rb1 0.0000 0.0000 0.0000  6 Zr 2.51

Pick (w): it beats the second-best structure by 1279 meV per atom.

(w)
RbY2W: relaxed, PBE.

The calculated density is 3.61 g cm⁻³. As for the symmetry: I4_1/amd (141).

abc: 8.3281 8.3281 8.3596
angles: 60.12 60.12 90.00
With the nearest neighbours (Å) after each atom.
Fractional positions:
Y1 0.8750 0.1245 0.7500  2 W 2.56
Y2 0.8755 0.6250 0.2500  2 W 2.56
Y3 0.3750 0.1255 0.7500  2 W 2.56
Y4 0.8745 0.1250 0.2500  2 W 2.56
Rb1 0.2500 0.7500 0.5000  12 Y 4.88-4.91, 4 Rb 5.11, 4 W 5.11
Rb2 0.5000 0.5000 0.0000  12 Y 4.88-4.91, 4 Rb 5.11, 4 W 5.11
W1 0.7500 0.2500 0.5000  4 Y 2.56
W2 0.0000 0.0000 0.0000  4 Y 2.56

(x)
RbY2W: relaxed, PBE.

The calculated density is 6.74 g cm⁻³. As for the symmetry: Fm-3m (225).

abc: 5.3795 5.3795 5.3795
angles: 60.00 60.00 60.00
With the nearest neighbours (Å) after each atom.
Fractional positions:
Y1 0.7500 0.7500 0.7500  4 W 3.29, 4 Rb 3.29
Y2 0.2500 0.2500 0.2500  4 W 3.29, 4 Rb 3.29
Rb1 0.0000 0.0000 0.0000  8 Y 3.29
W1 0.5000 0.5000 0.5000  8 Y 3.29

Pick (x): it beats the second-best structure by 167 meV per atom.

(w)
Rb2ZnW2: relaxed, PBE.

The calculated density is 6.20 g cm⁻³. As for the symmetry: I4/mmm (139).

abc: 3.6235 3.6235 12.5887
angles: 81.73 81.73 90.00
With the nearest neighbours (Å) after each atom.
Fractional positions:
W1 0.2500 0.7500 0.5000  4 W 2.56
W2 0.7500 0.2500 0.5000  4 W 2.56
Zn1 0.0000 0.0000 0.0000  4 Zn 3.62, 8 Rb 3.80
Rb1 0.6139 0.6139 0.7722  4 Rb 3.62, 4 Zn 3.80, 4 W 3.81
Rb2 0.3861 0.3861 0.2278  4 Rb 3.62, 4 Zn 3.80, 4 W 3.81

(x)
Rb2ZnW2: relaxed, PBE.

The calculated density is 5.73 g cm⁻³. As for the symmetry: P4/mbm (127).

abc: 10.9675 10.9675 2.9091
angles: 90.00 90.00 90.00
With the nearest neighbours (Å) after each atom.
Fractional positions:
Rb1 0.7906 0.7094 0.0000  2 Rb 2.91
Rb2 0.7094 0.2094 0.0000  2 Rb 2.91
Rb3 0.2906 0.7906 0.0000  2 Rb 2.91
Rb4 0.2094 0.2906 0.0000  2 Rb 2.91
Zn1 0.0000 0.0000 0.0000  2 Zn 2.91
Zn2 0.5000 0.5000 0.0000  2 Zn 2.91
W1 0.4279 0.0721 0.5000  1 W 2.24
W2 0.5721 0.9279 0.5000  1 W 2.24
W3 0.9279 0.4279 0.5000  1 W 2.24
W4 0.0721 0.5721 0.5000  1 W 2.24

Pick (w): it beats the second-best structure by 532 meV per atom.

(w)
RbZrW2: relaxed, PBE.

The calculated density is 10.67 g cm⁻³. As for the symmetry: Fm-3m (225).

abc: 4.9306 4.9306 4.9306
angles: 60.00 60.00 60.00
With the nearest neighbours (Å) after each atom.
Fractional positions:
Rb1 0.0000 0.0000 0.0000  8 W 3.02
W1 0.2500 0.2500 0.2500  4 Zr 3.02, 4 Rb 3.02
W2 0.7500 0.7500 0.7500  4 Zr 3.02, 4 Rb 3.02
Zr1 0.5000 0.5000 0.5000  8 W 3.02

(x)
RbZrW2: relaxed, PBE.

The calculated density is 8.06 g cm⁻³. As for the symmetry: I-42d (122).

abc: 4.7452 4.7452 10.5075
angles: 76.95 76.95 90.00
With the nearest neighbours (Å) after each atom.
Fractional positions:
Zr1 0.0000 0.0000 0.0000  4 W 2.79
Zr2 0.7500 0.2500 0.5000  4 W 2.79
W1 0.7841 0.1250 0.2500  2 W 2.52, 2 Zr 2.79
W2 0.8750 0.0341 0.7500  2 W 2.52, 2 Zr 2.79
W3 0.9659 0.6250 0.2500  2 W 2.52, 2 Zr 2.79
W4 0.3750 0.2159 0.7500  2 W 2.52, 2 Zr 2.79
Rb1 0.2500 0.7500 0.5000  4 Zr 3.36, 4 W 3.37
Rb2 0.5000 0.5000 0.0000  4 Zr 3.36, 4 W 3.37

Pick (x): it beats the second-best structure by 51 meV per atom.

(w)
Rb2ZrW: relaxed, PBE.

The calculated density is 5.21 g cm⁻³. As for the symmetry: Fm-3m (225).

abc: 5.8586 5.8586 5.8586
angles: 60.00 60.00 60.00
With the nearest neighbours (Å) after each atom.
Fractional positions:
W1 0.5000 0.5000 0.5000  8 Rb 3.59
Rb1 0.2500 0.2500 0.2500  4 Zr 3.59, 4 W 3.59
Rb2 0.7500 0.7500 0.7500  4 Zr 3.59, 4 W 3.59
Zr1 0.0000 0.0000 0.0000  8 Rb 3.59

(x)
Rb2ZrW: relaxed, PBE.

The calculated density is 3.39 g cm⁻³. As for the symmetry: I-42d (122).

abc: 13.3602 13.3602 9.7594
angles: 46.81 46.81 90.00
With the nearest neighbours (Å) after each atom.
Fractional positions:
Rb1 0.7777 0.1250 0.2500  2 W 3.64, 2 Zr 4.03
Rb2 0.9723 0.6250 0.2500  2 W 3.64, 2 Zr 4.03
Rb3 0.3750 0.2223 0.7500  2 W 3.64, 2 Zr 4.03
Rb4 0.8750 0.0277 0.7500  2 W 3.64, 2 Zr 4.03
Zr1 0.2500 0.7500 0.5000  2 W 2.45
Zr2 0.5000 0.5000 0.0000  2 W 2.45
W1 0.7500 0.2500 0.5000  2 Zr 2.45
W2 0.0000 0.0000 0.0000  2 Zr 2.45

Pick (x): it beats the second-best structure by 651 meV per atom.

(w)
Rb2YZr: relaxed, PBE.

The calculated density is 3.57 g cm⁻³. As for the symmetry: Fm-3m (225).

abc: 6.1340 6.1340 6.1340
angles: 60.00 60.00 60.00
With the nearest neighbours (Å) after each atom.
Fractional positions:
Zr1 0.5000 0.5000 0.5000  8 Rb 3.76
Y1 0.0000 0.0000 0.0000  8 Rb 3.76
Rb1 0.7500 0.7500 0.7500  4 Zr 3.76, 4 Y 3.76
Rb2 0.2500 0.2500 0.2500  4 Zr 3.76, 4 Y 3.76

(x)
Rb2YZr: relaxed, PBE.

The calculated density is 3.44 g cm⁻³. As for the symmetry: I-42d (122).

abc: 10.3421 10.3421 7.9715
angles: 49.56 49.56 90.00
With the nearest neighbours (Å) after each atom.
Fractional positions:
Zr1 0.7500 0.2500 0.5000  2 Y 3.17
Zr2 0.0000 0.0000 0.0000  2 Y 3.17
Rb1 0.1071 0.6250 0.2500  2 Rb 3.19
Rb2 0.8750 0.8929 0.7500  2 Rb 3.19
Rb3 0.6429 0.1250 0.2500  2 Rb 3.19
Rb4 0.3750 0.3571 0.7500  2 Rb 3.19
Y1 0.2500 0.7500 0.5000  2 Zr 3.17
Y2 0.5000 0.5000 0.0000  2 Zr 3.17

Pick (x): it beats the second-best structure by 46 meV per atom.

(w)
RbYZr: relaxed, PBE.

The calculated density is 3.24 g cm⁻³. As for the symmetry: F-43m (216).

abc: 5.7713 5.7713 5.7713
angles: 60.00 60.00 60.00
With the nearest neighbours (Å) after each atom.
Fractional positions:
Y1 0.7500 0.7500 0.7500  4 Zr 3.53
Rb1 0.2500 0.2500 0.2500  4 Zr 3.53
Zr1 0.5000 0.5000 0.5000  4 Y 3.53, 4 Rb 3.53

(x)
RbYZr: relaxed, PBE.

The calculated density is 3.19 g cm⁻³. As for the symmetry: Cmcm (63).

abc: 13.6547 13.6547 4.4495
angles: 90.00 90.00 160.55
With the nearest neighbours (Å) after each atom.
Fractional positions:
Zr1 0.0335 0.9665 0.2500  2 Zr 2.86
Zr2 0.9665 0.0335 0.7500  2 Zr 2.86
Y1 0.5529 0.4471 0.7500  6 Zr 3.25-3.28, 2 Y 3.61
Y2 0.4471 0.5529 0.2500  6 Zr 3.25-3.28, 2 Y 3.61
Rb1 0.8248 0.1752 0.7500  1 Zr 3.81
Rb2 0.1752 0.8248 0.2500  1 Zr 3.81

(y)
RbYZr: relaxed, PBE.

The calculated density is 4.13 g cm⁻³. As for the symmetry: P6_3/mmc (194).

abc: 6.1253 6.1253 6.5796
angles: 90.00 90.00 120.00
With the nearest neighbours (Å) after each atom.
Fractional positions:
Y1 0.3333 0.6667 0.7500  5 Zr 3.29-3.54
Y2 0.6667 0.3333 0.2500  5 Zr 3.29-3.54
Zr1 0.6667 0.3333 0.7500  5 Y 3.29-3.54
Zr2 0.3333 0.6667 0.2500  5 Y 3.29-3.54
Rb1 0.0000 0.0000 0.0000  2 Rb 3.29
Rb2 0.0000 0.0000 0.5000  2 Rb 3.29

(z)
RbYZr: relaxed, PBE.

The calculated density is 3.49 g cm⁻³. As for the symmetry: Pnma (62).

abc: 14.6236 6.2879 5.4905
angles: 90.00 90.00 90.00
With the nearest neighbours (Å) after each atom.
Fractional positions:
Y1 0.5000 0.0000 0.5000  2 Y 3.14, 4 Zr 3.18
Y2 0.0000 0.5000 0.0000  2 Y 3.14, 4 Zr 3.18
Y3 0.0000 0.0000 0.0000  2 Y 3.14, 4 Zr 3.18
Y4 0.5000 0.5000 0.5000  2 Y 3.14, 4 Zr 3.18
Rb1 0.2664 0.7500 0.0054  1 Zr 3.71
Rb2 0.2336 0.2500 0.5054  1 Zr 3.71
Rb3 0.7664 0.7500 0.4946  1 Zr 3.71
Rb4 0.7336 0.2500 0.9946  1 Zr 3.71
Zr1 0.5199 0.7500 0.9999  4 Y 3.18, 2 Zr 3.20
Zr2 0.9801 0.2500 0.4999  4 Y 3.18, 2 Zr 3.20
Zr3 0.4801 0.2500 0.0001  4 Y 3.18, 2 Zr 3.20
Zr4 0.0199 0.7500 0.5001  4 Y 3.18, 2 Zr 3.20

Pick (x): it beats the second-best structure by 452 meV per atom.

(w)
RbYZr: relaxed, PBE.

The calculated density is 3.81 g cm⁻³. As for the symmetry: Pnma (62).

abc: 12.4719 3.4005 10.9289
angles: 90.00 90.00 90.00
With the nearest neighbours (Å) after each atom.
Fractional positions:
Y1 0.6025 0.7500 0.2850  3 Zr 3.19-3.20, 2 Y 3.40
Y2 0.3975 0.2500 0.7150  3 Zr 3.19-3.20, 2 Y 3.40
Y3 0.1025 0.7500 0.2150  3 Zr 3.19-3.20, 2 Y 3.40
Y4 0.8975 0.2500 0.7850  3 Zr 3.19-3.20, 2 Y 3.40
Rb1 0.1451 0.7500 0.5708  2 Rb 3.40
Rb2 0.6451 0.7500 0.9292  2 Rb 3.40
Rb3 0.3549 0.2500 0.0708  2 Rb 3.40
Rb4 0.8549 0.2500 0.4292  2 Rb 3.40
Zr1 0.5773 0.7500 0.5756  4 Zr 3.06-3.40, 3 Y 3.19-3.20
Zr2 0.0773 0.7500 0.9244  4 Zr 3.06-3.40, 3 Y 3.19-3.20
Zr3 0.9227 0.2500 0.0756  4 Zr 3.06-3.40, 3 Y 3.19-3.20
Zr4 0.4227 0.2500 0.4244  4 Zr 3.06-3.40, 3 Y 3.19-3.20

(x)
RbYZr: relaxed, PBE.

The calculated density is 3.50 g cm⁻³. As for the symmetry: P2_1/m (11).

abc: 3.5287 5.1722 13.8889
angles: 90.00 96.56 90.00
With the nearest neighbours (Å) after each atom.
Fractional positions:
Zr1 0.0218 0.7500 0.0487  2 Zr 2.91, 2 Y 3.23-3.24
Zr2 0.9782 0.2500 0.9513  2 Zr 2.91, 2 Y 3.23-3.24
Rb1 0.1597 0.7500 0.3598  2 Rb 3.53
Rb2 0.8403 0.2500 0.6402  2 Rb 3.53
Y1 0.5664 0.2500 0.1479  6 Zr 3.23-3.42, 2 Y 3.53
Y2 0.4336 0.7500 0.8521  6 Zr 3.23-3.42, 2 Y 3.53

(y)
RbYZr: relaxed, PBE.

The calculated density is 4.07 g cm⁻³. As for the symmetry: Pnma (62).

abc: 5.1557 6.7261 12.4901
angles: 90.00 90.00 90.00
With the nearest neighbours (Å) after each atom.
Fractional positions:
Rb1 0.7508 0.2500 0.8357  2 Rb 3.35, 4 Y 3.63-3.70, 2 Zr 3.74
Rb2 0.7492 0.7500 0.3357  2 Rb 3.35, 4 Y 3.63-3.70, 2 Zr 3.74
Rb3 0.2492 0.7500 0.1643  2 Rb 3.35, 4 Y 3.63-3.70, 2 Zr 3.74
Rb4 0.2508 0.2500 0.6643  2 Rb 3.35, 4 Y 3.63-3.70, 2 Zr 3.74
Y1 0.2506 0.2500 0.0406  3 Zr 3.19-3.29
Y2 0.7506 0.2500 0.4594  3 Zr 3.19-3.29
Y3 0.2494 0.7500 0.5406  3 Zr 3.19-3.29
Y4 0.7494 0.7500 0.9594  3 Zr 3.19-3.29
Zr1 0.7494 0.7500 0.7039  2 Zr 2.82
Zr2 0.7506 0.2500 0.2039  2 Zr 2.82
Zr3 0.2506 0.2500 0.2961  2 Zr 2.82
Zr4 0.2494 0.7500 0.7961  2 Zr 2.82

(z)
RbYZr: relaxed, PBE.

The calculated density is 3.02 g cm⁻³. As for the symmetry: P-3m1 (164).

abc: 5.4006 5.4006 11.5803
angles: 90.00 90.00 120.00
With the nearest neighbours (Å) after each atom.
Fractional positions:
Zr1 0.0000 0.0000 0.8830  1 Zr 2.71
Zr2 0.0000 0.0000 0.1170  1 Zr 2.71
Rb1 0.6667 0.3333 0.3441  1 Y 4.08, 3 Zr 4.08
Rb2 0.3333 0.6667 0.6559  1 Y 4.08, 3 Zr 4.08
Y1 0.6667 0.3333 0.9919  3 Y 3.12, 6 Zr 3.36-3.44
Y2 0.3333 0.6667 0.0081  3 Y 3.12, 6 Zr 3.36-3.44

Pick (x): it beats the second-best structure by 256 meV per atom.

(w)
RbYZr: relaxed, PBE.

The calculated density is 4.23 g cm⁻³. As for the symmetry: P-6m2 (187).

abc: 6.1326 6.1326 3.2031
angles: 90.00 90.00 120.00
With the nearest neighbours (Å) after each atom.
Fractional positions:
Zr1 0.3333 0.6667 0.0000  2 Zr 3.20, 3 Y 3.54
Y1 0.0000 0.0000 0.0000  2 Y 3.20, 3 Zr 3.54
Rb1 0.6667 0.3333 0.5000  2 Rb 3.20

(x)
RbYZr: relaxed, PBE.

The calculated density is 3.02 g cm⁻³. As for the symmetry: R-3m (166).

abc: 11.9837 11.9837 11.9837
angles: 26.04 26.04 26.04
With the nearest neighbours (Å) after each atom.
Fractional positions:
Rb1 0.7814 0.7814 0.7814  1 Y 4.08, 3 Zr 4.08
Rb2 0.2186 0.2186 0.2186  1 Y 4.08, 3 Zr 4.08
Zr1 0.9610 0.9610 0.9610  1 Zr 2.71
Zr2 0.0390 0.0390 0.0390  1 Zr 2.71
Y1 0.6640 0.6640 0.6640  3 Y 3.12, 6 Zr 3.36-3.44
Y2 0.3360 0.3360 0.3360  3 Y 3.12, 6 Zr 3.36-3.44

Pick (x): it beats the second-best structure by 447 meV per atom.